Record 1
Entry from Alexandria: an optimized crystal structure of Sm2Ho3ErTe6 (PBE-GGA).

Values from the calculation:
The spin magnetization is 0.0000 μB/atom. The calculated volume comes out at 354.1 Å³/f.u. Its energy relative to the elements, uncorrected is -1.29 eV/atom.

Structure (POSCAR):
```
Sm2Ho3ErTe6
1.0
9.5358 -2.1693 0.0000
9.5358 2.1693 0.0000
-2.0217 0.0000 8.5580
Sm Ho Er Te
2 3 1 6
Cartesian
2.5667 0.0000 2.8856
14.4831 0.0000 5.6723
1.5949 0.0000 7.1402
8.5249 0.0000 4.2790
15.4549 0.0000 1.4178
9.5358 0.0000 0.0000
-1.4682 0.0000 6.4426
4.5475 0.0000 7.9114
5.6006 0.0000 3.5261
11.4492 0.0000 5.0318
12.5023 0.0000 0.6466
18.5180 0.0000 2.1154
```

=====

Record 2
Entry from Alexandria: an optimized crystal structure of YAl2As (PBE-GGA).

Values from the calculation:
The spin magnetization is 0.0000 μB/atom. The calculated volume comes out at 81.6 Å³/f.u. The value obtained for the energy of formation from the pure elements is -0.493 eV/atom.

Structure (POSCAR):
```
YAl2As
1.0
-2.0018 2.0018 5.0901
2.0018 -2.0018 5.0901
2.0018 2.0018 -5.0901
Y Al As
1 2 1
Cartesian
0.0000 0.0000 0.0000
2.0018 0.0000 2.5450
0.0000 2.0018 2.5450
0.0000 0.0000 5.0901
```